The following is a PBE-GGA calculation of a relaxed HfUMn2 crystal, from Alexandria via LeMat-Bulk.

Cell lengths 3.1918, 3.1918, 6.3391 Å; angles 90.00, 90.00, 90.00 degrees
Space group P4/mmm (No. 123)
Unique sites:
Hf 0.0000 0.0000 0.0000
U 0.0000 0.0000 0.5000
Mn 0.5000 0.5000 0.2820

DFT formation energy = 0.025 eV per atom
M_tot = 0.00 μB/cell
D(E_F) = 4.3 states/eV/f.u.